DFT (PBE) results for an optimized crystal structure of CeSmEr4.

Cell: 11.356 5.693 5.851 Å, 90.00 90.25 90.00°
Space group C2/m (No. 12)
Inequivalent atoms, fractional coordinates:
Ce1 0.000 0.000 0.000
Sm1 0.000 0.500 0.500
Er1 0.174 0.000 0.451
Er2 0.176 0.500 0.049

Values from the calculation:
Crystal system: monoclinic
VASP energy in eV per atom: -4.68